A plane-wave DFT calculation with PBE was carried out for crystalline Na2TiCrSe4 at its relaxed geometry.

The space group is P2/m (No. 10) and the conventional cell measures 6.6080, 3.7875 and 7.2130 Å, with angles of 90.00, 107.47 and 90.00 degrees. Symmetry generates all atoms from Na at (0.0000, 0.0000, 0.0000), Na at (0.5000, 0.5000, 0.0000), Ti at (0.0000, 0.5000, 0.5000), Cr at (0.5000, 0.0000, 0.5000), Se at (0.2397, 0.0000, 0.7077) and Se at (0.2677, 0.5000, 0.2967).

The calculation puts the density of states at the Fermi level at 3.16 states/eV per cell. The calculation puts the formation energy from raw total energies at -0.978 eV per atom.

A plane-wave DFT calculation with PBE was carried out for crystalline Ba3TmSi2O8 at its relaxed geometry.

The space group is P-3m1 (No. 164) and the conventional cell measures 5.7468, 5.7468 and 7.7002 Å, with angles of 90.00, 90.00 and 120.00 degrees. Symmetry generates all atoms from Ba at (0.0000, 0.0000, 0.0000), Ba at (0.3333, 0.6667, 0.6891), Tm at (0.0000, 0.0000, 0.5000), Si at (0.3333, 0.6667, 0.2338), O at (0.1773, 0.3547, 0.3154) and O at (0.3333, 0.6667, 0.0247).

The calculation puts the density of states at the Fermi level at 3.74 states/eV per cell. The calculation puts the formation energy from raw total energies at -2.894 eV per atom.

Q: formation energy from raw total energies of number 2 (Ba3TmSi2O8)?
A: -2.894 eV per atom

Q: Among the records above, which one has the highest formation energy from raw total energies?
A: Na2TiCrSe4

Q: Look up the formation energy from raw total energies of the second one.
A: -2.894 eV per atom